(1)
Below is crystalline Tc2Te at its relaxed geometry, with properties calculated at the GGA-PBE level.

Results
Offset from the most stable computed form, eV/atom: 0.459
Mass density, g cm⁻³: 10.621
ΔE_f (raw), meV/atom: 454

Cell lengths 4.777, 4.777, 4.777 Å; angles 142.25, 129.82, 64.47 degrees
Sites, in units of the cell vectors:
Te  0.000  0.000  0.000
Tc  0.675  0.675  0.000
Tc  0.325  0.325  0.000



(2)
Below is crystalline Tc3Te at its relaxed geometry, with properties calculated at the GGA-PBE level.

Results
Offset from the most stable computed form, eV/atom: 0.279
Mass density, g cm⁻³: 10.762
ΔE_f (raw), meV/atom: 589

Cell lengths 4.022, 4.022, 4.022 Å; angles 90.00, 90.00, 90.00 degrees
Sites, in units of the cell vectors:
Tc  0.000  0.500  0.500
Tc  0.500  0.500  0.000
Tc  0.500  0.000  0.500
Te  0.000  0.000  0.000



(3)
Below is crystalline TcTe at its relaxed geometry, with properties calculated at the GGA-PBE level.

Results
Offset from the most stable computed form, eV/atom: 0.125
Mass density, g cm⁻³: 9.065
ΔE_f (raw), meV/atom: 190

Cell lengths 4.292, 4.292, 5.180 Å; angles 90.00, 90.00, 120.00 degrees
Sites, in units of the cell vectors:
Te  0.667  0.333  0.750
Te  0.333  0.667  0.250
Tc  0.000  0.000  0.000
Tc  0.000  0.000  0.500